(1)
# CrNiTe2

A relaxed CrNiTe2 crystal (PBE, the Alexandria database). Values from VASP.

Calculated values
**Raw total energy**: -21.95 eV for the cell shown
**Excess energy over the best structure of this formula in the dataset**: 113 meV per atom
**Symmetry**: No. 99
**Mass density**: 6.69 g cm⁻³

```
&SYSTEM
  ibrav = 0, nat = 4, ntyp = 3
/
ATOMIC_SPECIES
Ni 58.69 Ni.upf
Te 127.60 Te.upf
Cr 52.00 Cr.upf
ATOMIC_POSITIONS crystal
Ni 0.5000 0.5000 0.7297
Te 0.5000 0.5000 0.3723
Te 0.0000 0.0000 0.8780
Cr 0.0000 0.0000 0.5199
CELL_PARAMETERS angstrom
-1.9168 -1.8466 2.3612
2.7600 -2.1807 0.5350
2.3595 4.2769 5.2602
```

(2)
# CrNiTe6

A relaxed CrNiTe6 crystal (PBE, the Alexandria database). Values from VASP.

Calculated values
**Raw total energy**: -34.70 eV for the cell shown
**Symmetry**: No. 2
**Mass density**: 7.27 g cm⁻³

```
&SYSTEM
  ibrav = 0, nat = 8, ntyp = 3
/
ATOMIC_SPECIES
Te 127.60 Te.upf
Ni 58.69 Ni.upf
Cr 52.00 Cr.upf
ATOMIC_POSITIONS crystal
Te 0.0601 0.4360 0.7429
Te 0.4332 0.7604 0.7426
Te 0.7537 0.0613 0.7503
Te 0.5668 0.2396 0.2574
Te 0.2463 0.9387 0.2497
Te 0.9399 0.5640 0.2571
Ni 0.0000 0.0000 0.0000
Cr 0.5000 0.5000 0.5000
CELL_PARAMETERS angstrom
-1.6890 4.7609 -4.2603
2.2310 -0.1934 -6.2336
-4.0596 -1.2544 -4.9676
```

Q: Number 2 is which compound?
A: CrNiTe6